Record 1
VASP calculation (PBE) on YInHg after structural relaxation.

```
data_YInHg
_cell_length_a 3.8237
_cell_length_b 3.8237
_cell_length_c 6.5891
_cell_angle_alpha 90.00
_cell_angle_beta 90.00
_cell_angle_gamma 120.00
_symmetry_space_group_name_H-M 'P 3 m 1'
_symmetry_Int_Tables_number 156
_symmetry_space_group_name_Hall 'P 3 -2"'
loop_
_atom_site_label
_atom_site_type_symbol
_atom_site_fract_x
_atom_site_fract_y
_atom_site_fract_z
_atom_site_occupancy
Y1 Y 0.0000 0.0000 0.0000 1
In1 In 0.3333 0.6667 0.6410 1
Hg1 Hg 0.6667 0.3333 0.3308 1
```

Summary:
The calculation puts the total DFT energy (no corrections) at -10.2 eV for the cell shown. The calculated volume is 27.8 Å³ per atom.

---

Record 2
VASP calculation (PBE) on YIn2Hg after structural relaxation.

```
data_YIn2Hg
_cell_length_a 3.392
_cell_length_b 4.889
_cell_length_c 6.228
_cell_angle_alpha 90.00
_cell_angle_beta 90.13
_cell_angle_gamma 90.00
_symmetry_space_group_name_H-M 'P 1 2/m 1'
_symmetry_Int_Tables_number 10
_symmetry_space_group_name_Hall '-P 2y'
loop_
_atom_site_label
_atom_site_type_symbol
_atom_site_fract_x
_atom_site_fract_y
_atom_site_fract_z
_atom_site_occupancy
Y1 Y 0.000 0.000 0.000 1
In1 In 0.498 0.500 0.759 1
Hg1 Hg 0.500 0.000 0.500 1
```

Summary:
The calculation puts the total DFT energy (no corrections) at -13.3 eV for the cell shown. The calculated volume is 25.8 Å³ per atom.

---

Record 3
VASP calculation (PBE) on Y2In4Hg after structural relaxation.

```
data_Y2In4Hg
_cell_length_a 9.005
_cell_length_b 9.334
_cell_length_c 4.531
_cell_angle_alpha 90.00
_cell_angle_beta 90.00
_cell_angle_gamma 90.00
_symmetry_space_group_name_H-M 'C m m m'
_symmetry_Int_Tables_number 65
_symmetry_space_group_name_Hall '-C 2 2'
loop_
_atom_site_label
_atom_site_type_symbol
_atom_site_fract_x
_atom_site_fract_y
_atom_site_fract_z
_atom_site_occupancy
Y1 Y 0.250 0.000 0.000 1
In1 In 0.000 0.238 0.000 1
In2 In 0.250 0.250 0.500 1
Hg1 Hg 0.000 0.500 0.500 1
```

Summary:
The calculation puts the total DFT energy (no corrections) at -52.6 eV for the cell shown. The calculated volume is 27.2 Å³ per atom.

---

Record 4
VASP calculation (PBE) on YIn2Hg after structural relaxation.

```
data_YIn2Hg
_cell_length_a 3.5035
_cell_length_b 3.5035
_cell_length_c 30.3678
_cell_angle_alpha 90.00
_cell_angle_beta 90.00
_cell_angle_gamma 120.00
_symmetry_space_group_name_H-M 'R -3 m'
_symmetry_Int_Tables_number 166
_symmetry_space_group_name_Hall '-R 3 2"'
loop_
_atom_site_label
_atom_site_type_symbol
_atom_site_fract_x
_atom_site_fract_y
_atom_site_fract_z
_atom_site_occupancy
Y1 Y 0.0000 0.0000 0.0000 1
In1 In 0.0000 0.0000 0.2470 1
Hg1 Hg 0.0000 0.0000 0.5000 1
```

Summary:
The calculation puts the total DFT energy (no corrections) at -38.1 eV for the cell shown. The calculated volume is 26.9 Å³ per atom.